DFT (PBE) results for a relaxed I2BrCl6 crystal.

Computed properties:
- energy relative to the elements, uncorrected (meV per atom) = -76
- symmetry = P-1 (2)

Lattice parameters (Å, degrees): 5.8680 7.6951 10.3609 104.68 65.15 112.31
Atoms (fractional coordinates):
I: 0.3389 0.5183 0.8251
I: 0.6611 0.4817 0.1749
Br: 0.0000 0.0000 0.5000
Cl: 0.6132 0.3168 0.7088
Cl: 0.9881 0.2743 0.0330
Cl: 0.0119 0.7257 0.9670
Cl: 0.5971 0.7543 0.6385
Cl: 0.4029 0.2457 0.3615
Cl: 0.3868 0.6832 0.2912